The following is a GGA-PBE calculation of an optimized crystal structure of FeCl, from OQMD.

Cell lengths 3.7681, 3.7681, 3.7681 Å; angles 60.00, 60.00, 60.00 degrees
Fractional coordinates of all 2 atoms:
Fe 0.0000 0.0000 0.0000
Cl 0.7500 0.7500 0.7500

Output
- Final energy: -9.86 eV per cell
- Crystal system: cubic

***

The following is a GGA-PBE calculation of an optimized crystal structure of FeCl2, from OQMD.

Cell lengths 7.6780, 4.2542, 4.2542 Å; angles 89.67, 90.00, 90.00 degrees
Fractional coordinates of all 6 atoms:
Fe 0.2500 0.1395 0.8605
Fe 0.7500 0.8605 0.1395
Cl 0.0000 0.1608 0.1608
Cl 0.2500 0.6447 0.6371
Cl 0.5000 0.1608 0.1608
Cl 0.7500 0.6371 0.6447

Output
- Final energy: -27.65 eV per cell
- Crystal system: orthorhombic

***

The following is a GGA-PBE calculation of an optimized crystal structure of FeCl, from OQMD.

Cell lengths 3.1203, 3.1203, 3.6759 Å; angles 90.00, 90.00, 120.00 degrees
Fractional coordinates of all 2 atoms:
Fe 0.0000 0.0000 0.0000
Cl 0.3333 0.6667 0.5000

Output
- Final energy: -9.74 eV per cell
- Crystal system: hexagonal

***

The following is a GGA-PBE calculation of an optimized crystal structure of FeCl2, from OQMD.

Cell lengths 5.7576, 3.6051, 6.2373 Å; angles 90.00, 90.00, 90.00 degrees
Fractional coordinates of all 6 atoms:
Fe 0.0000 0.0000 0.0000
Fe 0.5000 0.0000 0.0000
Cl 0.2500 0.0000 0.2927
Cl 0.2500 0.5000 0.8163
Cl 0.7500 0.0000 0.7073
Cl 0.7500 0.5000 0.1837

Output
- Final energy: -27.83 eV per cell
- Crystal system: orthorhombic

***

The following is a GGA-PBE calculation of an optimized crystal structure of FeCl2, from OQMD.

Cell lengths 3.4957, 3.4957, 12.6889 Å; angles 90.00, 90.00, 120.00 degrees
Fractional coordinates of all 6 atoms:
Fe 0.3333 0.6667 0.0000
Fe 0.6667 0.3333 0.5000
Cl 0.0000 0.0000 0.1104
Cl 0.0000 0.0000 0.6104
Cl 0.3333 0.6667 0.3897
Cl 0.6667 0.3333 0.8897

Output
- Final energy: -28.30 eV per cell
- Crystal system: hexagonal

***

The following is a GGA-PBE calculation of an optimized crystal structure of FeCl2, from OQMD.

Cell lengths 5.8341, 5.8341, 3.6545 Å; angles 90.00, 90.00, 90.00 degrees
Fractional coordinates of all 6 atoms:
Fe 0.0000 0.0000 0.0000
Fe 0.5000 0.5000 0.5000
Cl 0.1974 0.1974 0.5000
Cl 0.3026 0.6974 0.0000
Cl 0.6974 0.3026 0.0000
Cl 0.8026 0.8026 0.5000

Output
- Final energy: -27.86 eV per cell
- Crystal system: tetragonal

***

> Look up the final energy of the first one.

-9.86 eV per cell

***

> Number 1 is which compound?

FeCl

***

Please write out number 4 again, unchanged.
The following is a GGA-PBE calculation of an optimized crystal structure of FeCl2, from OQMD.

Cell lengths 5.7576, 3.6051, 6.2373 Å; angles 90.00, 90.00, 90.00 degrees
Fractional coordinates of all 6 atoms:
Fe 0.0000 0.0000 0.0000
Fe 0.5000 0.0000 0.0000
Cl 0.2500 0.0000 0.2927
Cl 0.2500 0.5000 0.8163
Cl 0.7500 0.0000 0.7073
Cl 0.7500 0.5000 0.1837

Output
- Final energy: -27.83 eV per cell
- Crystal system: orthorhombic